Run one
Compound: Sc3Hg5
Source: Alexandria via LeMat-Bulk
Functional: PBE-GGA
Structure: optimized geometry

Structure (POSCAR):
```
Sc3Hg5
1.0
6.122 -0.131 0.000
-1.482 5.942 0.000
0.000 0.000 9.731
Sc Hg
6 10
Direct
0.222 0.778 0.000
0.778 0.222 0.000
0.778 0.222 0.500
0.222 0.778 0.500
0.542 0.542 0.750
0.458 0.458 0.250
0.472 0.023 0.750
0.528 0.977 0.250
0.023 0.472 0.750
0.977 0.528 0.250
0.954 0.954 0.750
0.046 0.046 0.250
0.285 0.285 0.980
0.715 0.715 0.020
0.715 0.715 0.480
0.285 0.285 0.520
```

Properties
N(E_F)	0.653	states/eV/atom
space-group type	No. 63
size of the total moment	0.00	μB per cell

---

Run two
Compound: Sc3Hg5
Source: Alexandria via LeMat-Bulk
Functional: PBE-GGA
Structure: optimized geometry

Structure (POSCAR):
```
Sc3Hg5
1.0
8.614 -0.002 0.000
4.312 7.460 0.000
0.000 0.000 5.920
Sc Hg
6 10
Direct
0.619 0.000 0.250
0.381 0.000 0.750
0.381 0.619 0.250
0.000 0.381 0.250
0.000 0.619 0.750
0.619 0.381 0.750
0.667 0.667 0.000
0.333 0.333 0.500
0.333 0.333 0.000
0.667 0.667 0.500
0.269 0.000 0.250
0.731 0.000 0.750
0.731 0.269 0.250
0.000 0.731 0.250
0.000 0.269 0.750
0.269 0.731 0.750
```

Properties
N(E_F)	1.064	states/eV/atom
space-group type	No. 193
size of the total moment	0.00	μB per cell

---

Most stable to least stable: run one, run two

---

Run one
Compound: ScHg4
Source: Alexandria via LeMat-Bulk
Functional: PBE-GGA
Structure: optimized geometry

Structure (POSCAR):
```
ScHg4
1.0
-1.450 5.489 -0.758
-0.717 -0.963 -5.600
-5.495 -1.323 0.931
Sc Hg
1 4
Direct
0.500 0.500 0.500
0.000 0.000 0.000
0.500 0.000 0.500
0.000 0.500 0.500
0.500 0.500 0.000
```

Properties
N(E_F)	1.307	states/eV/atom
space-group type	No. 221
size of the total moment	1.06	μB per cell

---

Run two
Compound: ScHg4
Source: Alexandria via LeMat-Bulk
Functional: PBE-GGA
Structure: optimized geometry

Structure (POSCAR):
```
ScHg4
1.0
4.534 0.000 2.128
1.761 3.941 2.142
-0.218 0.072 6.357
Sc Hg
1 4
Direct
0.000 0.000 0.000
0.800 0.795 0.605
0.200 0.205 0.395
0.396 0.399 0.808
0.604 0.601 0.192
```

Properties
N(E_F)	0.568	states/eV/atom
space-group type	No. 12
size of the total moment	0.00	μB per cell

---

Run three
Compound: ScHg4
Source: Alexandria via LeMat-Bulk
Functional: PBE-GGA
Structure: optimized geometry

Structure (POSCAR):
```
ScHg4
1.0
-3.300 6.160 -1.625
-0.806 -3.215 6.363
6.958 1.748 -0.121
Sc Hg
2 8
Direct
0.500 0.500 0.000
0.250 0.750 0.500
0.701 0.390 0.311
0.079 0.390 0.689
0.140 0.329 0.189
0.140 0.951 0.811
0.671 0.860 0.811
0.049 0.860 0.189
0.610 0.921 0.311
0.610 0.299 0.689
```

Properties
N(E_F)	0.670	states/eV/atom
space-group type	No. 141
size of the total moment	0.00	μB per cell

---

Run four
Compound: ScHg4
Source: Alexandria via LeMat-Bulk
Functional: PBE-GGA
Structure: optimized geometry

Structure (POSCAR):
```
ScHg4
1.0
-1.998 1.998 8.020
1.998 -1.998 8.020
1.998 1.998 -8.020
Sc Hg
1 4
Direct
0.000 0.000 0.000
0.250 0.750 0.500
0.593 0.593 0.000
0.407 0.407 0.000
0.750 0.250 0.500
```

Properties
N(E_F)	0.904	states/eV/atom
space-group type	No. 139
size of the total moment	0.04	μB per cell

---

Most stable to least stable: run two, run three, run four, run one

---

Run one
Compound: Sc5Hg4
Source: Alexandria via LeMat-Bulk
Functional: PBE-GGA
Structure: optimized geometry

Structure (POSCAR):
```
Sc5Hg4
1.0
8.659 0.000 0.000
4.330 7.499 0.000
0.000 0.000 6.213
Hg Sc
8 10
Direct
0.000 0.000 0.000
0.000 0.000 0.500
0.624 0.376 0.250
0.000 0.624 0.250
0.376 0.000 0.250
0.376 0.624 0.750
0.000 0.376 0.750
0.624 0.000 0.750
0.296 0.704 0.250
0.000 0.296 0.250
0.704 0.000 0.250
0.704 0.296 0.750
0.000 0.704 0.750
0.296 0.000 0.750
0.333 0.333 0.000
0.667 0.667 0.500
0.667 0.667 0.000
0.333 0.333 0.500
```

Properties
N(E_F)	1.120	states/eV/atom
space-group type	No. 193
size of the total moment	0.00	μB per cell

---

Run two
Compound: Sc5Hg4
Source: Alexandria via LeMat-Bulk
Functional: PBE-GGA
Structure: optimized geometry

Structure (POSCAR):
```
Sc5Hg4
1.0
-4.716 4.716 2.240
4.716 -4.716 2.240
4.716 4.716 -2.240
Sc Hg
5 4
Direct
0.000 0.000 0.000
0.670 0.670 0.339
0.330 0.330 0.661
0.670 0.330 0.000
0.330 0.670 0.000
0.000 0.677 0.677
0.000 0.323 0.323
0.677 0.000 0.677
0.323 0.000 0.323
```

Properties
N(E_F)	0.817	states/eV/atom
space-group type	No. 139
size of the total moment	2.19	μB per cell

---

Most stable to least stable: run one, run two

---

Run one
Compound: ScHgSe3
Source: Alexandria via LeMat-Bulk
Functional: PBE-GGA
Structure: optimized geometry

Structure (POSCAR):
```
ScHgSe3
1.0
-3.785 0.599 3.476
-1.911 -4.634 -1.282
2.965 -2.222 3.611
Sc Hg Se
1 1 3
Direct
0.500 0.500 0.500
0.000 0.000 0.000
0.000 0.500 0.000
0.000 0.000 0.500
0.500 0.000 0.000
```

Properties
N(E_F)	0.405	states/eV/atom
space-group type	No. 221
size of the total moment	0.00	μB per cell

---

Run two
Compound: ScHgSe3
Source: Alexandria via LeMat-Bulk
Functional: PBE-GGA
Structure: optimized geometry

Structure (POSCAR):
```
ScHgSe3
1.0
-3.745 1.204 3.403
-1.846 -4.852 -0.315
3.102 -1.434 3.921
Sc Hg Se
1 1 3
Direct
0.000 0.000 0.000
0.500 0.500 0.500
0.000 0.500 0.000
0.000 0.000 0.500
0.500 0.000 0.000
```

Properties
N(E_F)	1.210	states/eV/atom
space-group type	No. 221
size of the total moment	0.96	μB per cell

---

Most stable to least stable: run two, run one

---

Run one
Compound: ScHgSe
Source: Alexandria via LeMat-Bulk
Functional: PBE-GGA
Structure: optimized geometry

Structure (POSCAR):
```
ScHgSe
1.0
-1.863 -3.037 -1.463
3.442 1.007 -1.404
2.773 -3.699 4.147
Hg Sc Se
1 1 1
Direct
0.000 0.000 0.041
0.333 0.667 0.370
0.667 0.333 0.589
```

Properties
N(E_F)	0.696	states/eV/atom
space-group type	No. 156
size of the total moment	0.00	μB per cell

---

Run two
Compound: ScHgSe
Source: Alexandria via LeMat-Bulk
Functional: PBE-GGA
Structure: optimized geometry

Structure (POSCAR):
```
ScHgSe
1.0
-4.483 -1.551 0.195
-1.826 -2.446 -3.636
-0.889 -4.640 0.468
Hg Sc Se
1 1 1
Direct
0.500 0.500 0.500
0.250 0.250 0.250
0.000 0.000 0.000
```

Properties
N(E_F)	1.246	states/eV/atom
space-group type	No. 216
size of the total moment	0.70	μB per cell

---

Most stable to least stable: run one, run two

---

Run one
Compound: ScHgSe
Source: Alexandria via LeMat-Bulk
Functional: PBE-GGA
Structure: optimized geometry

Structure (POSCAR):
```
ScHgSe
1.0
6.705 0.035 -0.038
5.793 3.375 -0.029
0.912 0.239 3.331
Hg Sc Se
1 1 1
Direct
0.975 0.975 0.025
0.309 0.309 0.691
0.716 0.716 0.284
```

Properties
N(E_F)	0.505	states/eV/atom
space-group type	No. 107
size of the total moment	0.00	μB per cell

---

Run two
Compound: ScHgSe
Source: Alexandria via LeMat-Bulk
Functional: PBE-GGA
Structure: optimized geometry

Structure (POSCAR):
```
ScHgSe
1.0
4.772 0.000 0.000
2.386 4.133 0.000
2.386 1.378 3.896
Hg Sc Se
1 1 1
Direct
0.000 0.000 0.000
0.500 0.500 0.500
0.250 0.250 0.250
```

Properties
N(E_F)	0.985	states/eV/atom
space-group type	No. 216
size of the total moment	0.00	μB per cell

---

Most stable to least stable: run one, run two